The following is a DFT calculation (PBE) of an optimized crystal structure of Zn2OsPb.

```
Zn2OsPb
1.0
4.0698 0.0000 0.0000
0.0000 4.0698 0.0000
2.0349 2.0349 9.3807
Zn Os Pb
4 2 2
Direct
0.3750 0.4576 0.7500
0.5424 0.1250 0.2500
0.8750 0.7924 0.7500
0.2076 0.6250 0.2500
0.5000 0.5000 0.0000
0.2500 0.7500 0.5000
0.7500 0.2500 0.5000
0.0000 0.0000 0.0000
```

The following is a DFT calculation (PBE) of an optimized crystal structure of LaScIn2.

```
LaScIn2
1.0
-0.8006 -1.6176 -3.1350
1.9932 -2.8592 0.9682
-6.8412 -3.5563 3.5820
La Sc In
1 1 2
Direct
0.0000 0.0000 0.4990
0.5000 0.5000 0.7851
0.5000 0.5000 0.2200
0.0000 0.0000 0.9958
```

The following is a DFT calculation (PBE) of an optimized crystal structure of DyEr2Cu2.

```
DyEr2Cu2
1.0
-2.9459 2.1439 -0.5988
-2.4979 -5.5436 3.8246
1.7529 4.5848 7.7903
Er Cu Dy
4 4 2
Direct
0.3053 0.6106 0.8684
0.6947 0.3894 0.3684
0.1124 0.2248 0.6522
0.8876 0.7752 0.1522
0.7800 0.5599 0.6471
0.0490 0.0979 0.3213
0.9510 0.9021 0.8213
0.2200 0.4401 0.1471
0.4191 0.8381 0.4963
0.5809 0.1619 0.9963
```

Number 1: formation energy 247 kJ/mol of formula units, electronic total energy -3.73 eV/atom. Number 2: formation energy -70 kJ/mol of formula units, electronic total energy -4.36 eV/atom. Number 3: formation energy -55 kJ/mol of formula units, electronic total energy -4.50 eV/atom.